This record from the Alexandria database describes a geometry-optimized CaY3Re structure. The functional is PBE.

## Properties
total magnetization = 0.00 μB per formula unit
ΔH_f (0 K) = 177 meV/atom
E = -6.592 eV/atom
space-group type = Pm-3m (221)

Cell lengths 5.5063, 5.5063, 5.5063 Å; angles 90.00, 90.00, 90.00 degrees
Atoms (fractional coordinates):
Ca 0.5000 0.5000 0.5000
Y 0.0000 0.5000 0.0000
Y 0.0000 0.0000 0.5000
Re 0.0000 0.0000 0.0000
Y 0.5000 0.0000 0.0000